## InSBr2 (PBE)

Data for InSBr2 after structural relaxation.

It has space group P-1 (No. 2), with a = 6.196 Å, b = 6.200 Å, c = 7.680 Å, α = 83.63°, β = 67.20° and γ = 74.87°. The inequivalent atoms are In at (0.000, 0.000, 0.000), In at (0.500, 0.500, 0.000), S at (0.088, 0.378, 0.069), Br at (0.175, 0.810, 0.269) and Br at (0.442, 0.806, 0.731).

As for the energy above the most stable polymorph in this dataset: 0.013 eV/atom. The total moment is 0.0 μB per formula unit. The energy relative to the elements, uncorrected comes out at -0.592 eV per atom. The calculation puts the calculated volume at 263 Å³/cell.

---

## In2SBr (PBE)

Data for In2SBr after structural relaxation.

It has space group C2/m (No. 12), with a = 12.159 Å, b = 4.110 Å, c = 9.223 Å, α = 90.00°, β = 100.71° and γ = 90.00°. The inequivalent atoms are In at (0.120, 0.000, 0.027), In at (0.126, 0.000, 0.612), S at (0.171, 0.500, 0.859) and Br at (0.119, 0.500, 0.298).

As for the energy above the most stable polymorph in this dataset: 0.025 eV/atom. The total moment is 0.0 μB per formula unit. The energy relative to the elements, uncorrected comes out at -0.529 eV per atom. The calculation puts the calculated volume at 453 Å³/cell.

---

## In2SBr (PBE)

Data for In2SBr after structural relaxation.

It has space group Cm (No. 8), with a = 11.392 Å, b = 4.070 Å, c = 11.860 Å, α = 90.00°, β = 103.47° and γ = 90.00°. The inequivalent atoms are In at (0.000, 0.000, 0.000), In at (0.031, 0.500, 0.391), In at (0.183, 0.500, 0.751), In at (0.275, 0.000, 0.340), S at (0.147, 0.000, 0.495), S at (0.159, 0.500, 0.236), Br at (0.290, 0.000, 0.973) and Br at (0.462, 0.500, 0.741).

As for the energy above the most stable polymorph in this dataset: 0.019 eV/atom. The total moment is 0.0 μB per formula unit. The energy relative to the elements, uncorrected comes out at -0.536 eV per atom. The calculation puts the calculated volume at 535 Å³/cell.